Li3Ni5O8 | Alexandria | PBE with a Hubbard U | optimized geometry; final energy = -233.1 eV/cell; symmetry = C2/m (12); density = 5.20 g/cm³; density of states at the Fermi level = 0.385 states/eV/atom; excess energy over the best structure of this formula in the dataset = 0.0 kJ per mole of atoms
1.0
5.083 -2.908 0.000
5.083 2.908 0.000
-4.928 0.000 14.347
Li Ni O
9 15 24
direct
0.000 0.000 0.000
0.000 0.500 0.000
0.164 0.164 0.665
0.168 0.669 0.668
0.331 0.832 0.332
0.500 0.000 0.000
0.669 0.168 0.668
0.832 0.331 0.332
0.836 0.836 0.335
0.085 0.085 0.834
0.085 0.585 0.833
0.249 0.751 0.500
0.250 0.250 0.502
0.330 0.330 0.333
0.415 0.415 0.166
0.415 0.915 0.167
0.500 0.500 0.000
0.585 0.085 0.833
0.585 0.585 0.834
0.670 0.670 0.667
0.750 0.750 0.498
0.751 0.249 0.500
0.915 0.415 0.167
0.915 0.915 0.166
0.042 0.042 0.428
0.047 0.532 0.418
0.125 0.125 0.245
0.129 0.617 0.248
0.213 0.703 0.085
0.223 0.223 0.095
0.294 0.294 0.912
0.297 0.787 0.915
0.383 0.871 0.752
0.393 0.393 0.761
0.465 0.465 0.577
0.468 0.953 0.582
0.532 0.047 0.418
0.535 0.535 0.423
0.607 0.607 0.239
0.617 0.129 0.248
0.703 0.213 0.085
0.706 0.706 0.088
0.777 0.777 0.905
0.787 0.297 0.915
0.871 0.383 0.752
0.875 0.875 0.755
0.953 0.468 0.582
0.958 0.958 0.572